# 1
A relaxed K3RbTi crystal. Source: Alexandria via LeMat-Bulk, functional PBE-GGA.

## Properties
Its crystal system is cubic. As for the total energy: -1.68 eV per atom. The value obtained for the energy relative to the lowest polymorph listed for this composition is 0 meV/atom.

Unit cell a=7.0051 b=7.0051 c=7.0051 alpha=90.00 beta=90.00 gamma=90.00
Space group Pm-3m (No. 221)
One atom of each set of equivalent atoms:
1 K 0.0000 0.0000 0.5000 [3 per cell]
2 Rb 0.5000 0.5000 0.5000 [1 per cell]
3 Ti 0.0000 0.0000 0.0000 [1 per cell]

=====

# 2
A relaxed KRbTi2 crystal. Source: Alexandria via LeMat-Bulk, functional PBE-GGA.

## Properties
Its crystal system is cubic. As for the total energy: -2.81 eV per atom. The value obtained for the energy relative to the lowest polymorph listed for this composition is 0 meV/atom.

Unit cell a=8.5443 b=8.5443 c=8.5443 alpha=90.00 beta=90.00 gamma=90.00
Space group Fm-3m (No. 225)
One atom of each set of equivalent atoms:
1 K 0.0000 0.0000 0.0000 [4 per cell]
2 Rb 0.0000 0.0000 0.5000 [4 per cell]
3 Ti 0.2500 0.2500 0.2500 [8 per cell]

=====

# 3
A relaxed K2RbTi crystal. Source: Alexandria via LeMat-Bulk, functional PBE-GGA.

## Properties
Its crystal system is tetragonal. As for the total energy: -1.82 eV per atom. The value obtained for the energy relative to the lowest polymorph listed for this composition is 76 meV/atom.

Unit cell a=10.8089 b=10.8089 c=8.1098 alpha=90.00 beta=90.00 gamma=90.00
Space group I-42d (No. 122)
One atom of each set of equivalent atoms:
1 K 0.2144 0.7500 0.1250 [8 per cell]
2 Rb 0.0000 0.0000 0.5000 [4 per cell]
3 Ti 0.0000 0.0000 0.0000 [4 per cell]

=====

# 4
A relaxed KRb3Ti crystal. Source: Alexandria via LeMat-Bulk, functional PBE-GGA.

## Properties
Its crystal system is cubic. As for the total energy: -1.60 eV per atom. The value obtained for the energy relative to the lowest polymorph listed for this composition is 0 meV/atom.

Unit cell a=7.2912 b=7.2912 c=7.2912 alpha=90.00 beta=90.00 gamma=90.00
Space group Pm-3m (No. 221)
One atom of each set of equivalent atoms:
1 K 0.0000 0.0000 0.0000 [1 per cell]
2 Rb 0.0000 0.5000 0.5000 [3 per cell]
3 Ti 0.5000 0.5000 0.5000 [1 per cell]

=====

# 5
A relaxed K3RbTi crystal. Source: Alexandria via LeMat-Bulk, functional PBE-GGA.

## Properties
Its crystal system is cubic. As for the total energy: -1.17 eV per atom. The value obtained for the energy relative to the lowest polymorph listed for this composition is 504 meV/atom.

Unit cell a=7.1969 b=7.1969 c=7.1969 alpha=90.00 beta=90.00 gamma=90.00
Space group Pm-3m (No. 221)
One atom of each set of equivalent atoms:
1 K 0.0000 0.0000 0.5000 [3 per cell]
2 Rb 0.0000 0.0000 0.0000 [1 per cell]
3 Ti 0.5000 0.5000 0.5000 [1 per cell]

=====

# 6
A relaxed KRb2Tl crystal. Source: Alexandria via LeMat-Bulk, functional PBE-GGA.

## Properties
Its crystal system is tetragonal. As for the total energy: -1.32 eV per atom. The value obtained for the energy relative to the lowest polymorph listed for this composition is 61 meV/atom.

Unit cell a=4.7451 b=4.7451 c=10.6407 alpha=90.00 beta=90.00 gamma=90.00
Space group P4/mmm (No. 123)
One atom of each set of equivalent atoms:
1 K 0.0000 0.0000 0.0000 [1 per cell]
2 Rb 0.5000 0.5000 0.3044 [2 per cell]
3 Tl 0.0000 0.0000 0.5000 [1 per cell]

=====

# 7
A relaxed KRb3Tl8 crystal. Source: Alexandria via LeMat-Bulk, functional PBE-GGA.

## Properties
Its crystal system is trigonal. As for the total energy: -2.01 eV per atom. The value obtained for the energy relative to the lowest polymorph listed for this composition is 0 meV/atom.

Unit cell a=6.8868 b=6.8868 c=10.6709 alpha=90.00 beta=90.00 gamma=120.00
Space group P3m1 (No. 156)
One atom of each set of equivalent atoms:
1 K 0.0000 0.0000 0.0000 [1 per cell]
2 Rb 0.0000 0.0000 0.3750 [1 per cell]
3 Rb 0.6667 0.3333 0.4996 [1 per cell]
4 Rb 0.6667 0.3333 0.8783 [1 per cell]
5 Tl 0.0010 0.5005 0.1871 [3 per cell]
6 Tl 0.1648 0.3297 0.6908 [3 per cell]
7 Tl 0.3333 0.6667 0.4422 [1 per cell]
8 Tl 0.3333 0.6667 0.9367 [1 per cell]

=====

# 8
A relaxed K17Rb11Tl crystal. Source: Alexandria via LeMat-Bulk, functional PBE-GGA.

## Properties
Its crystal system is monoclinic. As for the total energy: -1.08 eV per atom.

Unit cell a=16.5045 b=23.6282 c=13.6974 alpha=90.00 beta=123.64 gamma=90.00
Space group Cm (No. 8)
One atom of each set of equivalent atoms:
1 K 0.0000 0.0000 0.0000 [2 per cell]
2 K 0.0064 0.3823 0.9473 [4 per cell]
3 K 0.0831 0.5000 0.2840 [2 per cell]
4 K 0.1542 0.2034 0.6581 [4 per cell]
5 K 0.2608 0.0000 0.6833 [2 per cell]
6 K 0.2871 0.2997 0.0035 [4 per cell]
7 K 0.2894 0.3491 0.3841 [4 per cell]
8 K 0.3376 0.0000 0.3715 [2 per cell]
9 K 0.3810 0.1481 0.5762 [4 per cell]
10 K 0.4548 0.5000 0.6274 [2 per cell]
11 K 0.4890 0.1922 0.3248 [4 per cell]
12 Rb 0.0260 0.0944 0.3404 [4 per cell]
13 Rb 0.1428 0.1987 0.1775 [4 per cell]
14 Rb 0.1691 0.4101 0.6701 [4 per cell]
15 Rb 0.2382 0.5000 0.0392 [2 per cell]
16 Rb 0.2585 0.0944 0.9931 [4 per cell]
17 Rb 0.4447 0.3118 0.7815 [4 per cell]
18 Tl 0.4965 0.0000 0.7231 [2 per cell]